Entry 1:
First-principles (PBEsol) data for a geometry-optimized Zr2AlIn structure, as listed in Alexandria via LeMat-Bulk.

Calculated values
Energy relative to the elements   0.07 eV per atom
Total magnetic moment   0.001 Bohr magnetons per cell

a = 4.848 Å, b = 4.848 Å, c = 4.848 Å
α = 60.00°, β = 60.00°, γ = 60.00°
Sites, in units of the cell vectors:
Zr: 0.000 0.000 0.000
Zr: 0.250 0.250 0.250
Al: 0.500 0.500 0.500
In: 0.750 0.750 0.750

Entry 2:
First-principles (PBEsol) data for a geometry-optimized Zr2AlIn structure, as listed in Alexandria via LeMat-Bulk.

Calculated values
Energy relative to the elements   -0.39 eV per atom
Total magnetic moment   0.000 Bohr magnetons per cell

a = 5.259 Å, b = 5.259 Å, c = 3.059 Å
α = 90.00°, β = 90.00°, γ = 108.89°
Sites, in units of the cell vectors:
Zr: 0.000 0.500 0.000
Zr: 0.500 0.000 0.000
Al: 0.000 0.000 0.500
In: 0.500 0.500 0.500

Entry 3:
First-principles (PBEsol) data for a geometry-optimized ZrAlIn2 structure, as listed in Alexandria via LeMat-Bulk.

Calculated values
Energy relative to the elements   -0.33 eV per atom
Total magnetic moment   0.000 Bohr magnetons per cell

a = 5.576 Å, b = 5.576 Å, c = 5.576 Å
α = 136.77°, β = 136.77°, γ = 62.79°
Sites, in units of the cell vectors:
Zr: 0.000 0.000 0.000
Al: 0.500 0.500 0.000
In: 0.250 0.750 0.500
In: 0.750 0.250 0.500